Entry 1:
Computed, not measured: crystalline Zr2CdP at its relaxed geometry at the PBE-GGA level of DFT.

Cell: 7.8714 7.8714 7.8714 Å, 154.79 154.88 35.88°
Atoms (fractional coordinates):
Zr: 0.9240 0.9240 0.0000
Zr: 0.2270 0.7270 0.5000
Cd: 0.5539 0.5539 0.0000
P: 0.7951 0.2951 0.5000

Summary:
mass density: 6.144 g/cm³
energy of formation from the pure elements: -0.498 eV per atom
spin magnetization: 0.000 μB/atom
calculated total energy: -6.353 eV/atom
relative energy among the computed polymorphs: 235 meV per atom

***

Entry 2:
Computed, not measured: crystalline SbPPb at its relaxed geometry at the PBE-GGA level of DFT.

Cell: 5.9700 6.1147 6.1209 Å, 103.60 105.88 117.23°
Atoms (fractional coordinates):
Sb: 0.2340 0.7249 0.2189
Sb: 0.4514 0.8674 0.7478
P: 0.1918 0.1233 0.1824
P: 0.9102 0.9034 0.7765
Pb: 0.5705 0.4451 0.0131
Pb: 0.9295 0.2405 0.4938

Summary:
mass density: 6.897 g/cm³
spin magnetization: 0.000 μB/atom
calculated total energy: -4.297 eV/atom
E_form (uncorrected): 0.12 eV/atom
relative energy among the computed polymorphs: 40 meV per atom

***

Entry 3:
Computed, not measured: crystalline Pm3Hg5Te12 at its relaxed geometry at the PBE-GGA level of DFT.

Cell: 15.4518 15.4518 15.4518 Å, 109.47 109.47 109.47°
Atoms (fractional coordinates):
Te: 0.7269 0.1394 0.0536
Te: 0.3267 0.5536 0.4142
Te: 0.9464 0.3606 0.2731
Te: 0.5536 0.2269 0.1394
Te: 0.5875 0.7269 0.6733
Te: 0.9464 0.5858 0.1733
Te: 0.3267 0.7731 0.4125
Te: 0.0858 0.9125 0.1394
Te: 0.5858 0.9464 0.6733
Te: 0.7269 0.5875 0.1733
Te: 0.7731 0.4464 0.3606
Te: 0.8267 0.9142 0.0536
Te: 0.1394 0.7269 0.5536
Te: 0.3606 0.4142 0.0875
Te: 0.0875 0.9142 0.3606
Te: 0.4125 0.1394 0.5858
Te: 0.0875 0.1733 0.2269
Te: 0.4464 0.6733 0.0858
Te: 0.8267 0.9125 0.2731
Te: 0.1394 0.4125 0.0858
Te: 0.3606 0.9464 0.7731
Te: 0.5858 0.6394 0.4125
Te: 0.9142 0.8267 0.5536
Te: 0.7731 0.3267 0.9125
Te: 0.4142 0.3606 0.5875
Te: 0.0858 0.1733 0.4464
Te: 0.2269 0.6733 0.0875
Te: 0.1733 0.0875 0.7269
Te: 0.6394 0.0536 0.2269
Te: 0.8606 0.5875 0.9142
Te: 0.5536 0.3267 0.9142
Te: 0.5875 0.8606 0.4142
Te: 0.9125 0.8267 0.7731
Te: 0.9125 0.0858 0.6394
Te: 0.8606 0.2731 0.4464
Te: 0.1733 0.0858 0.9464
Te: 0.6394 0.5858 0.9125
Te: 0.4142 0.0536 0.3267
Te: 0.2731 0.4125 0.8267
Te: 0.2269 0.5536 0.6394
Te: 0.9142 0.0875 0.8606
Te: 0.6733 0.2269 0.5875
Te: 0.4464 0.7731 0.8606
Te: 0.0536 0.4142 0.8267
Te: 0.4125 0.2731 0.3267
Te: 0.0536 0.6394 0.7269
Te: 0.6733 0.4464 0.5858
Te: 0.2731 0.8606 0.9464
Hg: 0.1250 0.3750 0.2500
Hg: 0.0000 0.5000 0.0000
Hg: 0.0000 0.0000 0.0000
Hg: 0.3750 0.2500 0.1250
Hg: 0.5000 0.0000 0.5000
Hg: 0.5000 0.5000 0.0000
Hg: 0.1250 0.7500 0.3750
Hg: 0.7500 0.1250 0.8750
Hg: 0.7500 0.6250 0.3750
Hg: 0.3750 0.1250 0.7500
Hg: 0.6250 0.8750 0.2500
Hg: 0.5000 0.5000 0.5000
Hg: 0.5000 0.0000 0.0000
Hg: 0.0000 0.0000 0.5000
Hg: 0.2500 0.3750 0.6250
Hg: 0.2500 0.8750 0.1250
Hg: 0.0000 0.5000 0.5000
Hg: 0.8750 0.2500 0.6250
Hg: 0.6250 0.7500 0.8750
Hg: 0.8750 0.6250 0.7500
Pm: 0.7500 0.3750 0.1250
Pm: 0.8750 0.7500 0.1250
Pm: 0.3750 0.7500 0.6250
Pm: 0.2500 0.1250 0.3750
Pm: 0.8750 0.1250 0.2500
Pm: 0.3750 0.6250 0.2500
Pm: 0.6250 0.3750 0.7500
Pm: 0.1250 0.8750 0.7500
Pm: 0.7500 0.8750 0.6250
Pm: 0.6250 0.2500 0.3750
Pm: 0.1250 0.2500 0.8750
Pm: 0.2500 0.6250 0.8750

Summary:
mass density: 6.944 g/cm³
spin magnetization: 0.000 μB/atom
calculated total energy: -3.115 eV/atom
E_form (uncorrected): -0.44 eV/atom